Entry 1:
Computed, not measured: HfTc2Au2 after structural relaxation at the PBE level of DFT.

Values from the calculation:
E above lowest polymorph: 0.05 eV per formula unit
formation energy from the elements: 1.080 eV per formula unit
ρ: 14.3 g cm⁻³
energy: -72.32 eV for the cell shown

Cell: 7.040 7.040 3.606 Å, 90.00 90.00 90.00°
Fractional positions:
Hf  0.000  0.000  0.000
Hf  0.500  0.500  0.000
Au  0.178  0.678  0.500
Au  0.678  0.822  0.500
Au  0.822  0.322  0.500
Au  0.322  0.178  0.500
Tc  0.380  0.880  0.000
Tc  0.880  0.620  0.000
Tc  0.620  0.120  0.000
Tc  0.120  0.380  0.000

Entry 2:
Computed, not measured: NaLiAlPb after structural relaxation at the PBE level of DFT.

Values from the calculation:
formation energy from the elements: -0.027 eV per formula unit
ρ: 4.7 g cm⁻³
energy: -10.71 eV for the cell shown

Cell: 5.078 5.078 5.078 Å, 60.00 60.00 60.00°
Fractional positions:
Pb  0.750  0.750  0.750
Na  0.250  0.250  0.250
Al  0.500  0.500  0.500
Li  0.000  0.000  0.000

Please write out number 2 again, unchanged.
Computed, not measured: NaLiAlPb after structural relaxation at the PBE level of DFT.

Values from the calculation:
formation energy from the elements: -0.027 eV per formula unit
ρ: 4.7 g cm⁻³
energy: -10.71 eV for the cell shown

Cell: 5.078 5.078 5.078 Å, 60.00 60.00 60.00°
Fractional positions:
Pb  0.750  0.750  0.750
Na  0.250  0.250  0.250
Al  0.500  0.500  0.500
Li  0.000  0.000  0.000